Entry 1:
The following is a DFT calculation (GGA-PBEsol) of a geometry-optimized LaAl10Fe2 structure.

The calculation puts the calculated formation energy at -0.359 eV per atom. Its total energy is -0.389 Ry per atom.

The structure belongs to space group Cmcm (No. 63); the cell edges are 8.936, 10.151 and 8.985 Å and the angles 90.00°, 90.00° and 90.00°. The asymmetric unit holds La at (0.000, 0.121, 0.250), Al at (0.000, 0.164, 0.598), Al at (0.000, 0.376, 0.052), Al at (0.150, 0.372, 0.750), Al at (0.229, 0.000, 0.000), Al at (0.229, 0.359, 0.250) and Fe at (0.250, 0.250, 0.000).

---

Entry 2:
The following is a DFT calculation (GGA-PBEsol) of a geometry-optimized LaAl8Fe4 structure.

The calculation puts the calculated formation energy at -0.384 eV per atom. Its total energy is -0.446 Ry per atom.

The structure belongs to space group I4/mmm (No. 139); the cell edges are 8.743, 8.743 and 4.990 Å and the angles 90.00°, 90.00° and 90.00°. The asymmetric unit holds La at (0.000, 0.000, 0.000), Al at (0.000, 0.225, 0.500), Al at (0.000, 0.343, 0.000) and Fe at (0.250, 0.250, 0.250).

---

Entry 3:
The following is a DFT calculation (GGA-PBEsol) of a geometry-optimized La2AlFeMo structure.

The calculation puts the calculated formation energy at 1.286 eV per atom. Its total energy is -0.428 Ry per atom.

The structure belongs to space group P4/mmm (No. 123); the cell edges are 5.593, 5.593 and 4.609 Å and the angles 90.00°, 90.00° and 90.00°. The asymmetric unit holds La at (0.000, 0.500, 0.000), Al at (0.000, 0.000, 0.000), Fe at (0.500, 0.500, 0.500) and Mo at (0.000, 0.000, 0.500).

---

Entry 4:
The following is a DFT calculation (GGA-PBEsol) of a geometry-optimized La6Al4Fe9P structure.

The calculation puts the calculated formation energy at -0.314 eV per atom. Its total energy is -0.519 Ry per atom.

The structure belongs to space group I4/mcm (No. 140); the cell edges are 8.003, 8.003 and 22.630 Å and the angles 90.00°, 90.00° and 90.00°. The asymmetric unit holds La at (0.000, 0.000, 0.108), La at (0.175, 0.325, 0.192), Al at (0.119, 0.381, 0.406), Fe at (0.000, 0.500, 0.000), Fe at (0.068, 0.211, 0.500), Fe at (0.176, 0.324, 0.054) and P at (0.000, 0.000, 0.250).

---

Entry 5:
The following is a DFT calculation (GGA-PBEsol) of a geometry-optimized La3AlFeS7 structure.

Its raw formation energy is -1.680 eV/atom. Its total energy is -0.490 Ry per atom.

The structure belongs to space group P6_3 (No. 173); the cell edges are 10.2258, 10.2258 and 5.9954 Å and the angles 90.00°, 90.00° and 120.00°. The asymmetric unit holds La at (0.1422, 0.7666, 0.0000), Al at (0.3333, 0.6667, 0.5804), Fe at (0.0000, 0.0000, 0.2224), S at (0.0890, 0.8569, 0.4586), S at (0.0998, 0.5193, 0.7247) and S at (0.3333, 0.6667, 0.2106).

---

Entry 6:
The following is a DFT calculation (GGA-PBEsol) of a geometry-optimized LiAl2Fe structure.

The calculation puts the calculated formation energy at -0.219 eV per atom. Its total energy is -0.367 Ry per atom.

The structure belongs to space group P4/mmm (No. 123); the cell edges are 4.134, 4.134 and 2.875 Å and the angles 90.00°, 90.00° and 90.00°. The asymmetric unit holds Li at (0.000, 0.000, 0.000), Al at (0.000, 0.500, 0.500) and Fe at (0.500, 0.500, 0.000).

---

Entry 7:
The following is a DFT calculation (GGA-PBEsol) of a geometry-optimized Li3AlFe structure.

The calculation puts the calculated formation energy at 0.877 eV per atom. Its total energy is -0.214 Ry per atom.

The structure belongs to space group Pm-3m (No. 221); the cell edges are 4.561, 4.561 and 4.561 Å and the angles 90.00°, 90.00° and 90.00°. The asymmetric unit holds Li at (0.000, 0.000, 0.500), Al at (0.500, 0.500, 0.500) and Fe at (0.000, 0.000, 0.000).

---

Entry 8:
The following is a DFT calculation (GGA-PBEsol) of a geometry-optimized LiAl2Fe2 structure.

The calculation puts the calculated formation energy at -0.146 eV per atom. Its total energy is -0.423 Ry per atom.

The structure belongs to space group P4/mbm (No. 127); the cell edges are 7.219, 7.219 and 2.591 Å and the angles 90.00°, 90.00° and 90.00°. The asymmetric unit holds Li at (0.000, 0.000, 0.000), Al at (0.180, 0.320, 0.500) and Fe at (0.114, 0.614, 0.000).

---

Entry 9:
The following is a DFT calculation (GGA-PBEsol) of a geometry-optimized LiAlFe2 structure.

The calculation puts the calculated formation energy at 0.042 eV per atom. Its total energy is -0.438 Ry per atom.

The structure belongs to space group Cmmm (No. 65); the cell edges are 4.996, 7.527 and 2.526 Å and the angles 90.00°, 90.00° and 90.00°. The asymmetric unit holds Li at (0.000, 0.000, 0.000), Al at (0.000, 0.500, 0.000) and Fe at (0.250, 0.250, 0.500).

---

Entry 10:
The following is a DFT calculation (GGA-PBEsol) of a geometry-optimized Li2AlFe structure.

The calculation puts the calculated formation energy at 0.189 eV per atom. Its total energy is -0.298 Ry per atom.

The structure belongs to space group R-3m (No. 166, hexagonal axes); the cell edges are 2.6367, 2.6367 and 27.6592 Å and the angles 90.00°, 90.00° and 120.00°. The asymmetric unit holds Li at (0.0000, 0.0000, 0.2464), Al at (0.0000, 0.0000, 0.0000) and Fe at (0.0000, 0.0000, 0.5000).

---

Entry 11:
The following is a DFT calculation (GGA-PBEsol) of a geometry-optimized LiAl2Fe structure.

The calculation puts the calculated formation energy at 0.041 eV per atom. Its total energy is -0.348 Ry per atom.

The structure belongs to space group P4mm (No. 99); the cell edges are 3.105, 3.105 and 5.522 Å and the angles 90.00°, 90.00° and 90.00°. The asymmetric unit holds Li at (0.000, 0.000, 0.000), Al at (0.000, 0.000, 0.554), Al at (0.500, 0.500, 0.248) and Fe at (0.500, 0.500, 0.753).

---

Entry 12:
The following is a DFT calculation (GGA-PBEsol) of a geometry-optimized LiAl2FeO6 structure.

Its raw formation energy is -2.163 eV/atom. Its total energy is -0.531 Ry per atom.

The structure belongs to space group C2/m (No. 12); the cell edges are 4.824, 8.415 and 5.289 Å and the angles 90.00°, 111.35° and 90.00°. The asymmetric unit holds Li at (0.000, 0.000, 0.000), Al at (0.000, 0.169, 0.500), Fe at (0.000, 0.500, 0.500), O at (0.244, 0.339, 0.698) and O at (0.248, 0.000, 0.696).